First-principles (GGA-PBE) data for Ba3GeI after structural relaxation, as listed in Alexandria via LeMat-Bulk.

Output
The uncorrected energy is -3.15 eV/atom. For the energy above the most stable polymorph in this dataset, the calculation gives 0.000 eV per atom. The calculation puts the formation energy (no corrections) at -0.763 eV/atom.

abc: 4.997 8.384 11.117
angles: 90.00 90.00 90.00
Space group Pmmn (No. 59, origin choice 2)
Asymmetric unit:
Ba (0.250, 0.008, 0.146) (multiplicity 4)
Ba (0.250, 0.250, 0.596) (multiplicity 2)
Ge (0.250, 0.250, 0.892) (multiplicity 2)
I (0.250, 0.750, 0.664) (multiplicity 2)